A geometry-optimized RbMnPt2Br structure, computed with PBE-GGA.

The structure belongs to space group P4/mmm (No. 123); the cell edges are 5.1389, 5.1389 and 5.8778 Å and the angles 90.00°, 90.00° and 90.00°. Symmetry generates all atoms from Rb at (0.0000, 0.0000, 0.0000), Mn at (0.5000, 0.5000, 0.5000), Pt at (0.0000, 0.5000, 0.0000) and Br at (0.0000, 0.0000, 0.5000).

Its density of states at the Fermi level is 0.26 states/eV per atom. The energy above the most stable polymorph in this dataset comes out at 1304.0 meV/atom. As for the crystal system: tetragonal. The value obtained for the formation energy from raw total energies is 1.637 eV per atom.